1.
AlInRe2: relaxed, PBE.

a b c (Å): 5.3094 5.3094 2.8204
angles (deg): 102.76 102.76 115.72
Sites, in units of the cell vectors:
Al  0.0000  0.0000  0.0000
In  0.5000  0.5000  0.0000
Re  0.0000  0.5000  0.5000
Re  0.5000  0.0000  0.5000

Computed properties:
Its symmetry is C2/m (12). The raw total energy is -7.4037 eV/atom. The energy relative to the elements is 0.441 eV per atom.


2.
PmCd2Ag: relaxed, PBE.

a b c (Å): 5.0752 5.0752 5.0752
angles (deg): 60.00 60.00 60.00
Sites, in units of the cell vectors:
Pm  0.0000  0.0000  0.0000
Cd  0.2500  0.2500  0.2500
Cd  0.7500  0.7500  0.7500
Ag  0.5000  0.5000  0.5000

Computed properties:
Its symmetry is Fm-3m (225). The raw total energy is -2.6144 eV/atom. The energy relative to the elements is -0.256 eV per atom.


3.
CoRe2Au: relaxed, PBE.

a b c (Å): 2.6829 2.6829 8.0447
angles (deg): 90.00 90.00 90.00
Sites, in units of the cell vectors:
Co  0.0000  0.0000  0.0000
Re  0.5000  0.5000  0.2229
Re  0.5000  0.5000  0.7771
Au  0.0000  0.0000  0.5000

Computed properties:
Its symmetry is P4/mmm (123). The raw total energy is -8.4735 eV/atom. The energy relative to the elements is 0.346 eV per atom.


Repeat the third record exactly.
CoRe2Au: relaxed, PBE.

a b c (Å): 2.6829 2.6829 8.0447
angles (deg): 90.00 90.00 90.00
Sites, in units of the cell vectors:
Co  0.0000  0.0000  0.0000
Re  0.5000  0.5000  0.2229
Re  0.5000  0.5000  0.7771
Au  0.0000  0.0000  0.5000

Computed properties:
Its symmetry is P4/mmm (123). The raw total energy is -8.4735 eV/atom. The energy relative to the elements is 0.346 eV per atom.


Repeat the first record exactly.
AlInRe2: relaxed, PBE.

a b c (Å): 5.3094 5.3094 2.8204
angles (deg): 102.76 102.76 115.72
Sites, in units of the cell vectors:
Al  0.0000  0.0000  0.0000
In  0.5000  0.5000  0.0000
Re  0.0000  0.5000  0.5000
Re  0.5000  0.0000  0.5000

Computed properties:
Its symmetry is C2/m (12). The raw total energy is -7.4037 eV/atom. The energy relative to the elements is 0.441 eV per atom.


Q: Which formula does entry 1 have?
A: AlInRe2


Q: Look up the energy relative to the elements of the first one.
A: 0.441 eV per atom